Record 1
A plane-wave DFT calculation with PBE was carried out for a relaxed structure of AlReAs4.

The structure belongs to space group F-43m (No. 216); the cell edges are 7.6408, 7.6408 and 7.6408 Å and the angles 90.00°, 90.00° and 90.00°. The inequivalent atoms are Al at (0.0000, 0.0000, 0.0000), Re at (0.2500, 0.2500, 0.2500) and As at (0.1251, 0.1251, 0.6251).

The density of states at the Fermi level is 3.5 states/eV/f.u. The total magnetization is 1.50 μB/f.u. The formation energy is 992 meV per atom.

Record 2
A plane-wave DFT calculation with PBE was carried out for a relaxed structure of LiPm2TlSe4.

The structure belongs to space group Cmcm (No. 63); the cell edges are 4.2739, 14.2507 and 14.8927 Å and the angles 90.00°, 90.00° and 90.00°. The inequivalent atoms are Li at (0.0000, 0.1663, 0.2500), Pm at (0.0000, 0.3658, 0.5614), Tl at (0.0000, 0.1038, 0.7500), Se at (0.0000, 0.0000, 0.0000), Se at (0.0000, 0.2647, 0.1102) and Se at (0.0000, 0.4296, 0.7500).

The uncorrected formation energy is -1.512 eV/atom. The total magnetization is 0.00 μB/f.u.

Record 3
A plane-wave DFT calculation with PBE was carried out for a relaxed structure of ThIn2SnSe4.

The structure belongs to space group P2/m (No. 10); the cell edges are 7.5120, 4.3280 and 7.9679 Å and the angles 90.00°, 107.83° and 90.00°. The inequivalent atoms are Th at (0.0000, 0.0000, 0.0000), In at (0.0000, 0.5000, 0.5000), In at (0.5000, 0.0000, 0.5000), Sn at (0.5000, 0.5000, 0.0000), Se at (0.2278, 0.5000, 0.2139) and Se at (0.2469, 0.0000, 0.7831).

The uncorrected formation energy is -0.856 eV/atom. The total magnetization is 0.00 μB/f.u.

Record 4
A plane-wave DFT calculation with PBE was carried out for a relaxed structure of CaTl2Re.

The structure belongs to space group Imm2 (No. 44); the cell edges are 3.1247, 4.6740 and 14.1871 Å and the angles 90.00°, 90.00° and 90.00°. The inequivalent atoms are Ca at (0.0000, 0.0000, 0.0000), Tl at (0.0000, 0.0000, 0.3606), Tl at (0.0000, 0.5000, 0.1761) and Re at (0.0000, 0.5000, 0.6860).

As for the offset from the most stable computed form: 0.0 meV/atom. The density of states at the Fermi level is 2.8 states/eV/f.u. The total magnetization is 0.00 μB/f.u. The formation energy is 530 meV per atom.